This record from Alexandria via LeMat-Bulk describes a geometry-optimized CaAl2Mo structure. The functional is PBE.

Calculated values
Calculated formation energy ... 233 meV per atom
Energy above the lowest structure with this stoichiometry ... 337 meV per atom
Volume ... 18.92 Å³/atom

The structure in CIF format:
```
data_CaAl2Mo
_chemical_formula_sum 'Ca2 Al4 Mo2'
_symmetry_space_group_name_H-M 'I -4 m 2'
_symmetry_Int_Tables_number 119
_symmetry_space_group_name_Hall 'I -4 -2'
_cell_length_a 4.034
_cell_length_b 4.034
_cell_length_c 9.301
_cell_angle_alpha 90.00
_cell_angle_beta 90.00
_cell_angle_gamma 90.00
loop_
_atom_site_label
_atom_site_type_symbol
_atom_site_fract_x
_atom_site_fract_y
_atom_site_fract_z
Ca1 Ca 0.000 0.000 0.000
Al1 Al 0.000 0.000 0.500
Al2 Al 0.000 0.500 0.250
Mo1 Mo 0.000 0.500 0.750
```

This record from Alexandria via LeMat-Bulk describes a geometry-optimized CaAl2Mo structure. The functional is PBE.

Calculated values
Calculated formation energy ... 341 meV per atom
Energy above the lowest structure with this stoichiometry ... 444 meV per atom
Volume ... 19.09 Å³/atom

The structure in CIF format:
```
data_CaAl2Mo
_chemical_formula_sum 'Ca3 Al6 Mo3'
_symmetry_space_group_name_H-M 'R 3 m'
_symmetry_Int_Tables_number 160
_symmetry_space_group_name_Hall 'R 3 -2"'
_cell_length_a 3.0207
_cell_length_b 3.0207
_cell_length_c 28.9888
_cell_angle_alpha 90.00
_cell_angle_beta 90.00
_cell_angle_gamma 120.00
loop_
_atom_site_label
_atom_site_type_symbol
_atom_site_fract_x
_atom_site_fract_y
_atom_site_fract_z
Ca1 Ca 0.0000 0.0000 0.0000
Al1 Al 0.0000 0.0000 0.2396
Al2 Al 0.0000 0.0000 0.4956
Mo1 Mo 0.0000 0.0000 0.7560
```

This record from Alexandria via LeMat-Bulk describes a geometry-optimized CaAl2Mo structure. The functional is PBE.

Calculated values
Calculated formation energy ... 158 meV per atom
Energy above the lowest structure with this stoichiometry ... 262 meV per atom
Volume ... 18.29 Å³/atom

The structure in CIF format:
```
data_CaAl2Mo
_chemical_formula_sum 'Ca2 Al4 Mo2'
_symmetry_space_group_name_H-M 'C m m m'
_symmetry_Int_Tables_number 65
_symmetry_space_group_name_Hall '-C 2 2'
_cell_length_a 5.946
_cell_length_b 8.532
_cell_length_c 2.885
_cell_angle_alpha 90.00
_cell_angle_beta 90.00
_cell_angle_gamma 90.00
loop_
_atom_site_label
_atom_site_type_symbol
_atom_site_fract_x
_atom_site_fract_y
_atom_site_fract_z
Ca1 Ca 0.000 0.000 0.000
Al1 Al 0.250 0.250 0.500
Mo1 Mo 0.000 0.500 0.000
```

no.,spin magnetization (μB/f.u.)
1,0.0
2,0.0
3,0.0